First-principles (PBE) data for a geometry-optimized LaPb3 structure, as listed in Alexandria via LeMat-Bulk.

Results
- Space group: Pm-3n
- Calculated formation energy: -0.23 eV per atom
- Final energy: -4.240 eV/atom

Cell lengths 6.322, 6.322, 6.322 Å; angles 90.00, 90.00, 90.00 degrees
Fractional coordinates of all 8 atoms:
Pb 0.250 0.500 0.000
Pb 0.000 0.750 0.500
Pb 0.750 0.500 0.000
La 0.000 0.000 0.000
Pb 0.500 0.000 0.750
Pb 0.000 0.250 0.500
La 0.500 0.500 0.500
Pb 0.500 0.000 0.250


First-principles (PBE) data for a geometry-optimized TaAgSb3 structure, as listed in Alexandria via LeMat-Bulk.

Results
- Space group: Pm-3m
- ΔE_f (raw): 0.542 eV per atom
- Energy above the most stable polymorph in this dataset: 0 meV/atom
- Final energy: -4.872 eV/atom

Cell lengths 5.349, 5.349, 5.349 Å; angles 90.00, 90.00, 90.00 degrees
Fractional coordinates of all 5 atoms:
Sb 0.500 0.000 0.000
Sb 0.000 0.000 0.500
Ta 0.000 0.000 0.000
Ag 0.500 0.500 0.500
Sb 0.000 0.500 0.000


First-principles (PBE) data for a geometry-optimized NdSiTe2 structure, as listed in Alexandria via LeMat-Bulk.

Results
- Space group: R-3m
- ΔE_f (raw): -0.087 eV per atom
- Final energy: -4.206 eV/atom

Cell lengths 3.956, 3.956, 9.627 Å; angles 78.14, 78.14, 60.00 degrees
Fractional coordinates of all 4 atoms:
Si 0.500 0.500 0.500
Te 0.110 0.110 0.670
Te 0.890 0.890 0.330
Nd 0.000 0.000 0.000


First-principles (PBE) data for a geometry-optimized Ba2Mg15Zn2 structure, as listed in Alexandria via LeMat-Bulk.

Results
- Space group: R-3m
- Calculated formation energy: -0.05 eV per atom
- Final energy: -1.648 eV/atom

Cell lengths 7.932, 7.932, 7.932 Å; angles 82.77, 82.77, 82.77 degrees
Fractional coordinates of all 19 atoms:
Mg 0.345 0.849 0.345
Mg 0.849 0.345 0.345
Mg 0.000 0.290 0.710
Mg 0.290 0.710 0.000
Mg 0.345 0.345 0.849
Zn 0.091 0.091 0.091
Ba 0.334 0.334 0.334
Mg 0.655 0.655 0.151
Zn 0.909 0.909 0.909
Mg 0.000 0.710 0.290
Mg 0.290 0.000 0.710
Mg 0.655 0.151 0.655
Mg 0.710 0.000 0.290
Mg 0.000 0.500 0.000
Mg 0.710 0.290 0.000
Mg 0.000 0.000 0.500
Ba 0.666 0.666 0.666
Mg 0.500 0.000 0.000
Mg 0.151 0.655 0.655


First-principles (PBE) data for a geometry-optimized ScReAu2 structure, as listed in Alexandria via LeMat-Bulk.

Results
- Space group: R-3m
- Energy above the most stable polymorph in this dataset: 269 meV/atom
- Calculated formation energy: 0.22 eV per atom
- Final energy: -6.118 eV/atom

Cell lengths 9.632, 9.632, 9.632 Å; angles 17.42, 17.42, 17.42 degrees
Fractional coordinates of all 4 atoms:
Au 0.502 0.502 0.502
Sc 0.750 0.750 0.750
Au 0.998 0.998 0.998
Re 0.250 0.250 0.250


First-principles (PBE) data for a geometry-optimized Li2SmBiO structure, as listed in Alexandria via LeMat-Bulk.

Results
- Space group: I4/mcm
- ΔE_f (raw): -1.488 eV per atom
- Final energy: -4.965 eV/atom

Cell lengths 6.360, 6.360, 6.494 Å; angles 119.32, 119.32, 90.00 degrees
Fractional coordinates of all 10 atoms:
Li 0.752 0.749 0.000
Li 0.749 0.249 0.000
Sm 0.250 0.250 0.500
O 0.500 0.500 0.000
Li 0.252 0.752 0.000
Bi 0.250 0.750 0.500
O 0.000 0.000 0.000
Li 0.249 0.252 0.000
Sm 0.750 0.750 0.500
Bi 0.750 0.250 0.500


First-principles (PBE) data for a geometry-optimized SrOsPt structure, as listed in Alexandria via LeMat-Bulk.

Results
- Space group: I4mm
- Energy above the most stable polymorph in this dataset: 96 meV/atom
- Calculated formation energy: 0.30 eV per atom
- Final energy: -6.012 eV/atom

Cell lengths 5.979, 5.979, 5.979 Å; angles 145.58, 145.58, 49.48 degrees
Fractional coordinates of all 3 atoms:
Pt 0.385 0.385 0.000
Os 0.947 0.947 0.000
Sr 0.668 0.668 0.000


First-principles (PBE) data for a geometry-optimized Ru3WSe structure, as listed in Alexandria via LeMat-Bulk.

Results
- Space group: Pm-3m
- ΔE_f (raw): 1.712 eV per atom
- Final energy: -7.141 eV/atom

Cell lengths 4.715, 4.715, 4.715 Å; angles 90.00, 90.00, 90.00 degrees
Last column: magnetic moment on the atom in μB.
Fractional coordinates of all 5 atoms:
Ru 0.000 0.500 0.000  0.97
Ru 0.500 0.000 0.000  0.63
Se 0.500 0.500 0.500  0.09
W 0.000 0.000 0.000  -0.22
Ru 0.000 0.000 0.500  0.85


Copy entry 8 word for word.
First-principles (PBE) data for a geometry-optimized Ru3WSe structure, as listed in Alexandria via LeMat-Bulk.

Results
- Space group: Pm-3m
- ΔE_f (raw): 1.712 eV per atom
- Final energy: -7.141 eV/atom

Cell lengths 4.715, 4.715, 4.715 Å; angles 90.00, 90.00, 90.00 degrees
Last column: magnetic moment on the atom in μB.
Fractional coordinates of all 5 atoms:
Ru 0.000 0.500 0.000  0.97
Ru 0.500 0.000 0.000  0.63
Se 0.500 0.500 0.500  0.09
W 0.000 0.000 0.000  -0.22
Ru 0.000 0.000 0.500  0.85